The following is a DFT calculation (PBE+U) of a geometry-optimized TiFeTeO6 structure.

The calculation puts the size of the total moment at 8.23 μB/cell. The value obtained for the total energy is -122.7 eV for the cell shown.

The structure belongs to space group P-31c (No. 163); the cell edges are 5.1687, 5.1687 and 8.9039 Å and the angles 90.00°, 90.00° and 120.00°. Symmetry generates all atoms from Ti at (0.3333, 0.6667, 0.2500), Fe at (0.0000, 0.0000, 0.0000), Te at (0.3333, 0.6667, 0.7500) and O at (0.0055, 0.3441, 0.1303).